Computed, not measured: a relaxed structure of AlAg2WO at the PBE+U level of DFT.

Properties
* calculated total energy: -4.189 eV per atom
* SG: P4/mmm
* size of the total moment: 4.12 μB per cell

```
AlAg2WO
1.0
-0.318 3.608 3.631
1.803 -1.946 2.092
4.326 2.135 -1.742
W Ag Al O
1 2 1 1
Cartesian
2.905 1.898 1.990
2.163 1.067 -0.871
-0.159 1.804 1.815
0.902 -0.973 1.046
0.000 0.000 0.000
```